Here is a geometry-optimized NiAgNO2 structure from Alexandria. Energies are from PBE+U.

Unit cell a=4.1213 b=4.1213 c=3.9064 alpha=90.00 beta=90.00 gamma=90.00
Closest atoms and distances in Å follow each position.
Positions (direct):
Ni  0.5000  0.5000  0.5000  8 O 2.84, 4 N 2.91
O  0.0000  0.5000  0.0000  2 Ag 2.06
Ag  0.0000  0.0000  0.0000  2 N 1.95, 4 O 2.06
O  0.5000  0.0000  0.0000  2 Ag 2.06
N  0.0000  0.0000  0.5000  2 Ag 1.95

Properties
**Total DFT energy (no corrections)**: -3.390 eV/atom